Entry 1:
Compound: YScAg2
Source: the Alexandria database
Functional: PBE
Structure: optimized geometry

a b c (Å): 3.650 3.650 6.794
angles (deg): 90.00 90.00 90.00
Space group P4mm (No. 99)
Symmetry-distinct sites (fractional):
Y (0.000, 0.000, 0.000) [1 per cell]
Sc (0.500, 0.500, 0.677) [1 per cell]
Ag (0.000, 0.000, 0.472) [1 per cell]
Ag (0.500, 0.500, 0.245) [1 per cell]

=====

Entry 2:
Compound: YScAg2
Source: the Alexandria database
Functional: PBE
Structure: optimized geometry

a b c (Å): 7.096 7.096 7.096
angles (deg): 90.00 90.00 90.00
Space group Fm-3m (No. 225)
Symmetry-distinct sites (fractional):
Y (0.000, 0.000, 0.000) [4 per cell]
Sc (0.000, 0.000, 0.500) [4 per cell]
Ag (0.250, 0.250, 0.250) [8 per cell]

=====

Entry 3:
Compound: YSc2Ag4
Source: the Alexandria database
Functional: PBE
Structure: optimized geometry

a b c (Å): 7.214 7.214 6.305
angles (deg): 90.00 90.00 90.00
Space group I4/mmm (No. 139)
Symmetry-distinct sites (fractional):
Y (0.000, 0.000, 0.000) [2 per cell]
Sc (0.000, 0.500, 0.000) [4 per cell]
Ag (0.250, 0.250, 0.250) [8 per cell]

=====

Entry 4:
Compound: Y3ScAg
Source: the Alexandria database
Functional: PBE
Structure: optimized geometry

a b c (Å): 5.444 5.444 5.444
angles (deg): 90.00 90.00 90.00
Space group Pm-3m (No. 221)
Symmetry-distinct sites (fractional):
Y (0.000, 0.000, 0.500) [3 per cell]
Sc (0.000, 0.000, 0.000) [1 per cell]
Ag (0.500, 0.500, 0.500) [1 per cell]

=====

Entry 5:
Compound: YSc5Ag4
Source: the Alexandria database
Functional: PBE
Structure: optimized geometry

a b c (Å): 3.421 3.421 18.699
angles (deg): 90.00 90.00 90.00
Space group P4/mmm (No. 123)
Symmetry-distinct sites (fractional):
Y (0.000, 0.000, 0.000) [1 per cell]
Sc (0.500, 0.500, 0.129) [2 per cell]
Sc (0.500, 0.500, 0.314) [2 per cell]
Sc (0.500, 0.500, 0.500) [1 per cell]
Ag (0.000, 0.000, 0.221) [2 per cell]
Ag (0.000, 0.000, 0.408) [2 per cell]

=====

Entry 6:
Compound: YScAg
Source: the Alexandria database
Functional: PBE
Structure: optimized geometry

a b c (Å): 4.8787 4.8787 23.9797
angles (deg): 90.00 90.00 120.00
Space group R-3m (No. 166, hexagonal axes)
Symmetry-distinct sites (fractional):
Y (0.0000, 0.0000, 0.1208) [6 per cell]
Sc (0.0000, 0.0000, 0.3709) [6 per cell]
Ag (0.0000, 0.0000, 0.2536) [6 per cell]

=====

Entry 7:
Compound: YScAg
Source: the Alexandria database
Functional: PBE
Structure: optimized geometry

a b c (Å): 6.859 6.859 6.859
angles (deg): 90.00 90.00 90.00
Space group F-43m (No. 216)
Symmetry-distinct sites (fractional):
Y (0.000, 0.000, 0.000) [4 per cell]
Sc (0.250, 0.250, 0.750) [4 per cell]
Ag (0.250, 0.250, 0.250) [4 per cell]

=====

Entry 8:
Compound: Y3ScAg
Source: the Alexandria database
Functional: PBE
Structure: optimized geometry

a b c (Å): 5.534 5.534 5.534
angles (deg): 90.00 90.00 90.00
Space group Pm-3m (No. 221)
Symmetry-distinct sites (fractional):
Y (0.000, 0.000, 0.500) [3 per cell]
Sc (0.500, 0.500, 0.500) [1 per cell]
Ag (0.000, 0.000, 0.000) [1 per cell]

=====

| no. | DOS at the Fermi energy (states/eV/f.u.) | electronic total energy (eV/atom) | ΔE_f (eV per formula unit) |
| --- | --- | --- | --- |
| 1 | 2.56 | -4.82 | -0.79 |
| 2 | 1.95 | -4.91 | -1.15 |
| 3 | 6.54 | -4.42 | -0.41 |
| 4 | 3.58 | -5.00 | 3.59 |
| 5 | 10.66 | -5.15 | -1.99 |
| 6 | 4.19 | -5.14 | 0.23 |
| 7 | 4.24 | -4.58 | 1.90 |
| 8 | 12.45 | -5.35 | 1.82 |